Density functional theory data (GGA-PBE) for a geometry-optimized SnMo2Ir structure.

Properties
VASP energy: -32.241 eV/f.u.
formation energy from the elements: 0.57 eV per atom
mass density: 11.29 g/cm³
density of states at the Fermi level: 5.8 states/eV/f.u.

Unit cell a=7.399 b=7.399 c=5.406 alpha=90.00 beta=90.00 gamma=90.00
Space group I-42d (No. 122)
Unique sites:
1 Sn 0.000 0.000 0.000 [4 per cell]
2 Mo 0.219 0.250 0.625 [8 per cell]
3 Ir 0.000 0.000 0.500 [4 per cell]